## i
Compound: BaLiTi2
Source: Alexandria via LeMat-Bulk
Functional: PBE
Structure: relaxed

The calculated density is 4.18 g cm⁻³. Its volume is 95 Å³/f.u.

The space group is Fm-3m (No. 225) and the conventional cell measures 7.249, 7.249 and 7.249 Å, with angles of 90.00, 90.00 and 90.00 degrees. The distinct sites, in fractional coordinates, are Ba at (0.000, 0.000, 0.000), Li at (0.000, 0.000, 0.500) and Ti at (0.250, 0.250, 0.250).

## ii
Compound: BaLiTi2
Source: Alexandria via LeMat-Bulk
Functional: PBE
Structure: relaxed

The calculated density is 3.82 g cm⁻³. Its volume is 104 Å³/f.u.

The space group is I-42d (No. 122) and the conventional cell measures 4.295, 4.295 and 22.603 Å, with angles of 90.00, 90.00 and 90.00 degrees. The distinct sites, in fractional coordinates, are Ba at (0.000, 0.000, 0.000), Li at (0.000, 0.000, 0.500) and Ti at (0.124, 0.250, 0.625).

Ordering by calculated energy gives the sequence ii, i, with the first entry being the most stable.

## i
Compound: BaLi2Ti
Source: Alexandria via LeMat-Bulk
Functional: PBE
Structure: relaxed

The calculated density is 3.01 g cm⁻³. Its volume is 110 Å³/f.u.

The space group is Fm-3m (No. 225) and the conventional cell measures 7.599, 7.599 and 7.599 Å, with angles of 90.00, 90.00 and 90.00 degrees. The distinct sites, in fractional coordinates, are Ba at (0.000, 0.000, 0.000), Li at (0.250, 0.250, 0.250) and Ti at (0.000, 0.000, 0.500).

## ii
Compound: BaLi2Ti
Source: Alexandria via LeMat-Bulk
Functional: PBE
Structure: relaxed

The calculated density is 2.68 g cm⁻³. Its volume is 123 Å³/f.u.

The space group is I-42d (No. 122) and the conventional cell measures 4.695, 4.695 and 22.361 Å, with angles of 90.00, 90.00 and 90.00 degrees. The distinct sites, in fractional coordinates, are Ba at (0.000, 0.000, 0.000), Li at (0.162, 0.750, 0.625) and Ti at (0.000, 0.000, 0.500).

Ordering by calculated energy gives the sequence i, ii, with the first entry being the most stable.

## i
Compound: BaLiTi3
Source: Alexandria via LeMat-Bulk
Functional: PBE
Structure: relaxed

The calculated density is 3.68 g cm⁻³. Its volume is 130 Å³/f.u.

The space group is Pm-3m (No. 221) and the conventional cell measures 5.065, 5.065 and 5.065 Å, with angles of 90.00, 90.00 and 90.00 degrees. The distinct sites, in fractional coordinates, are Ba at (0.000, 0.000, 0.000), Li at (0.500, 0.500, 0.500) and Ti at (0.000, 0.000, 0.500).

## ii
Compound: BaLiTi3
Source: Alexandria via LeMat-Bulk
Functional: PBE
Structure: relaxed

The calculated density is 4.23 g cm⁻³. Its volume is 113 Å³/f.u.

The space group is Pm-3m (No. 221) and the conventional cell measures 4.836, 4.836 and 4.836 Å, with angles of 90.00, 90.00 and 90.00 degrees. The distinct sites, in fractional coordinates, are Ba at (0.000, 0.000, 0.000), Li at (0.500, 0.500, 0.500) and Ti at (0.000, 0.500, 0.500).

Ordering by calculated energy gives the sequence ii, i, with the first entry being the most stable.

## i
Compound: Ba2LiTl2
Source: Alexandria via LeMat-Bulk
Functional: PBE
Structure: relaxed

The calculated density is 6.30 g cm⁻³. Its volume is 182 Å³/f.u.

The space group is C2/m (No. 12) and the conventional cell measures 11.772, 5.407 and 12.794 Å, with angles of 90.00, 116.73 and 90.00 degrees. The distinct sites, in fractional coordinates, are Ba at (0.008, 0.000, 0.331), Ba at (0.196, 0.000, 0.107), Li at (0.216, 0.500, 0.364), Tl at (0.002, 0.500, 0.121) and Tl at (0.152, 0.500, 0.574).

## ii
Compound: Ba2LiTl2
Source: Alexandria via LeMat-Bulk
Functional: PBE
Structure: relaxed

The calculated density is 5.38 g cm⁻³. Its volume is 213 Å³/f.u.

The space group is I4/mmm (No. 139) and the conventional cell measures 4.540, 4.540 and 20.667 Å, with angles of 90.00, 90.00 and 90.00 degrees. The distinct sites, in fractional coordinates, are Ba at (0.000, 0.000, 0.106), Li at (0.000, 0.000, 0.500) and Tl at (0.000, 0.500, 0.250).

Ordering by calculated energy gives the sequence i, ii, with the first entry being the most stable.

## i
Compound: BaLiTl
Source: Alexandria via LeMat-Bulk
Functional: PBE
Structure: relaxed

The calculated density is 5.75 g cm⁻³. Its volume is 101 Å³/f.u.

The space group is P-6m2 (No. 187) and the conventional cell measures 5.3400, 5.3400 and 4.0750 Å, with angles of 90.00, 90.00 and 120.00 degrees. The distinct sites, in fractional coordinates, are Ba at (0.0000, 0.0000, 0.0000), Li at (0.6667, 0.3333, 0.5000) and Tl at (0.3333, 0.6667, 0.5000).

## ii
Compound: BaLiTl
Source: Alexandria via LeMat-Bulk
Functional: PBE
Structure: relaxed

The calculated density is 5.96 g cm⁻³. Its volume is 97 Å³/f.u.

The space group is Cmcm (No. 63) and the conventional cell measures 4.399, 15.634 and 5.654 Å, with angles of 90.00, 90.00 and 90.00 degrees. The distinct sites, in fractional coordinates, are Ba at (0.000, 0.081, 0.250), Li at (0.000, 0.243, 0.750) and Tl at (0.000, 0.373, 0.250).

## iii
Compound: BaLiTl
Source: Alexandria via LeMat-Bulk
Functional: PBE
Structure: relaxed

The calculated density is 4.57 g cm⁻³. Its volume is 127 Å³/f.u.

The space group is F-43m (No. 216) and the conventional cell measures 7.970, 7.970 and 7.970 Å, with angles of 90.00, 90.00 and 90.00 degrees. The distinct sites, in fractional coordinates, are Ba at (0.000, 0.000, 0.000), Li at (0.250, 0.250, 0.250) and Tl at (0.250, 0.250, 0.750).

## iv
Compound: BaLiTl
Source: Alexandria via LeMat-Bulk
Functional: PBE
Structure: relaxed

The calculated density is 5.35 g cm⁻³. Its volume is 108 Å³/f.u.

The space group is F-43m (No. 216) and the conventional cell measures 7.563, 7.563 and 7.563 Å, with angles of 90.00, 90.00 and 90.00 degrees. The distinct sites, in fractional coordinates, are Ba at (0.000, 0.000, 0.000), Li at (0.250, 0.250, 0.750) and Tl at (0.000, 0.000, 0.500).

Ordering by calculated energy gives the sequence i, ii, iv, iii, with the first entry being the most stable.

## i
Compound: BaLiTl
Source: Alexandria via LeMat-Bulk
Functional: PBE
Structure: relaxed

The calculated density is 5.83 g cm⁻³. Its volume is 99 Å³/f.u.

The space group is I4mm (No. 107) and the conventional cell measures 4.055, 4.055 and 12.083 Å, with angles of 90.00, 90.00 and 90.00 degrees. The distinct sites, in fractional coordinates, are Ba at (0.000, 0.000, 0.000), Li at (0.000, 0.000, 0.289) and Tl at (0.000, 0.000, 0.695).

## ii
Compound: BaLiTl
Source: Alexandria via LeMat-Bulk
Functional: PBE
Structure: relaxed

The calculated density is 5.71 g cm⁻³. Its volume is 101 Å³/f.u.

The space group is Imm2 (No. 44) and the conventional cell measures 5.357, 15.427 and 7.368 Å, with angles of 90.00, 90.00 and 90.00 degrees. The distinct sites, in fractional coordinates, are Ba at (0.000, 0.000, 0.000), Ba at (0.000, 0.354, 0.154), Li at (0.000, 0.164, 0.345), Li at (0.000, 0.500, 0.788), Tl at (0.000, 0.000, 0.493) and Tl at (0.000, 0.313, 0.654).

Ordering by calculated energy gives the sequence i, ii, with the first entry being the most stable.

## i
Compound: Ba3Li4Tl2
Source: Alexandria via LeMat-Bulk
Functional: PBE
Structure: relaxed

The calculated density is 4.51 g cm⁻³. Its volume is 313 Å³/f.u.

The space group is C2/m (No. 12) and the conventional cell measures 12.630, 5.309 and 9.976 Å, with angles of 90.00, 110.75 and 90.00 degrees. The distinct sites, in fractional coordinates, are Ba at (0.000, 0.000, 0.000), Ba at (0.141, 0.500, 0.683), Li at (0.120, 0.000, 0.424), Li at (0.222, 0.500, 0.074) and Tl at (0.152, 0.500, 0.321).

## ii
Compound: Ba3Li4Tl2
Source: Alexandria via LeMat-Bulk
Functional: PBE
Structure: relaxed

The calculated density is 4.70 g cm⁻³. Its volume is 300 Å³/f.u.

The space group is C2/m (No. 12) and the conventional cell measures 12.206, 5.091 and 10.013 Å, with angles of 90.00, 105.60 and 90.00 degrees. The distinct sites, in fractional coordinates, are Ba at (0.000, 0.000, 0.000), Ba at (0.118, 0.500, 0.374), Li at (0.101, 0.000, 0.659), Li at (0.234, 0.500, 0.065) and Tl at (0.202, 0.500, 0.766).

Ordering by calculated energy gives the sequence ii, i, with the first entry being the most stable.

## i
Compound: Ba2LiTl3
Source: Alexandria via LeMat-Bulk
Functional: PBE
Structure: relaxed

The calculated density is 7.18 g cm⁻³. Its volume is 207 Å³/f.u.

The space group is Fmmm (No. 69) and the conventional cell measures 8.336, 10.699 and 18.558 Å, with angles of 90.00, 90.00 and 90.00 degrees. The distinct sites, in fractional coordinates, are Ba at (0.244, 0.000, 0.000), Ba at (0.250, 0.250, 0.250), Li at (0.000, 0.000, 0.333), Tl at (0.000, 0.000, 0.173) and Tl at (0.000, 0.241, 0.413).

## ii
Compound: Ba2LiTl3
Source: Alexandria via LeMat-Bulk
Functional: PBE
Structure: relaxed

The calculated density is 7.25 g cm⁻³. Its volume is 205 Å³/f.u.

The space group is Cm (No. 8) and the conventional cell measures 12.281, 5.314 and 8.519 Å, with angles of 90.00, 132.47 and 90.00 degrees. The distinct sites, in fractional coordinates, are Ba at (0.000, 0.000, 0.000), Ba at (0.086, 0.000, 0.578), Li at (0.377, 0.000, 0.554), Tl at (0.189, 0.500, 0.986), Tl at (0.224, 0.500, 0.410) and Tl at (0.382, 0.000, 0.186).

Ordering by calculated energy gives the sequence ii, i, with the first entry being the most stable.

## i
Compound: BaLiTl3
Source: Alexandria via LeMat-Bulk
Functional: PBE
Structure: relaxed

The calculated density is 8.17 g cm⁻³. Its volume is 154 Å³/f.u.

The space group is Imma (No. 74) and the conventional cell measures 7.352, 10.678 and 7.848 Å, with angles of 90.00, 90.00 and 90.00 degrees. The distinct sites, in fractional coordinates, are Ba at (0.000, 0.250, 0.074), Li at (0.000, 0.000, 0.500), Tl at (0.000, 0.250, 0.563) and Tl at (0.250, 0.035, 0.750).

## ii
Compound: BaLiTl3
Source: Alexandria via LeMat-Bulk
Functional: PBE
Structure: relaxed

The calculated density is 8.21 g cm⁻³. Its volume is 153 Å³/f.u.

The space group is Pm-3m (No. 221) and the conventional cell measures 5.350, 5.350 and 5.350 Å, with angles of 90.00, 90.00 and 90.00 degrees. The distinct sites, in fractional coordinates, are Ba at (0.000, 0.000, 0.000), Li at (0.500, 0.500, 0.500) and Tl at (0.000, 0.500, 0.500).

Ordering by calculated energy gives the sequence i, ii, with the first entry being the most stable.

## i
Compound: BaLiTl3
Source: Alexandria via LeMat-Bulk
Functional: PBE
Structure: relaxed

The calculated density is 8.37 g cm⁻³. Its volume is 150 Å³/f.u.

The space group is Pnma (No. 62) and the conventional cell measures 9.742, 4.907 and 12.578 Å, with angles of 90.00, 90.00 and 90.00 degrees. The distinct sites, in fractional coordinates, are Ba at (0.190, 0.250, 0.001), Li at (0.088, 0.250, 0.640), Tl at (0.071, 0.250, 0.404), Tl at (0.121, 0.750, 0.794) and Tl at (0.133, 0.750, 0.212).

## ii
Compound: BaLiTl3
Source: Alexandria via LeMat-Bulk
Functional: PBE
Structure: relaxed

The calculated density is 4.65 g cm⁻³. Its volume is 270 Å³/f.u.

The space group is Pm-3m (No. 221) and the conventional cell measures 6.466, 6.466 and 6.466 Å, with angles of 90.00, 90.00 and 90.00 degrees. The distinct sites, in fractional coordinates, are Ba at (0.000, 0.000, 0.000), Li at (0.500, 0.500, 0.500) and Tl at (0.000, 0.000, 0.500).

Ordering by calculated energy gives the sequence i, ii, with the first entry being the most stable.

## i
Compound: Ba2LiTl4
Source: Alexandria via LeMat-Bulk
Functional: PBE
Structure: relaxed

The calculated density is 7.42 g cm⁻³. Its volume is 246 Å³/f.u.

The space group is I4/mmm (No. 139) and the conventional cell measures 5.218, 5.218 and 18.075 Å, with angles of 90.00, 90.00 and 90.00 degrees. The distinct sites, in fractional coordinates, are Ba at (0.000, 0.000, 0.150), Li at (0.000, 0.000, 0.500), Tl at (0.000, 0.000, 0.350) and Tl at (0.000, 0.500, 0.000).

## ii
Compound: Ba2LiTl4
Source: Alexandria via LeMat-Bulk
Functional: PBE
Structure: relaxed

The calculated density is 6.61 g cm⁻³. Its volume is 276 Å³/f.u.

The space group is Cmmm (No. 65) and the conventional cell measures 6.524, 16.772 and 5.048 Å, with angles of 90.00, 90.00 and 90.00 degrees. The distinct sites, in fractional coordinates, are Ba at (0.000, 0.157, 0.000), Li at (0.000, 0.500, 0.500), Tl at (0.000, 0.305, 0.500) and Tl at (0.000, 0.413, 0.000).

Ordering by calculated energy gives the sequence i, ii, with the first entry being the most stable.